La6Nd2Tm5 | PBE-GGA | relaxed

Results
Energy (Ry per atom): -0.3391
Formation energy from the elements (eV per atom): 0.1135

a b c (Å): 11.9932 20.6217 3.6460
angles (deg): 90.00 90.00 90.00
Space group Pbam (No. 55)
One atom of each set of equivalent atoms:
La (0.0431, 0.0783, 0.0000) (multiplicity 4)
La (0.0731, 0.3627, 0.0000) (multiplicity 4)
La (0.1842, 0.6227, 0.5000) (multiplicity 4)
Nd (0.1651, 0.7842, 0.0000) (multiplicity 4)
Tm (0.0000, 0.5000, 0.5000) (multiplicity 2)
Tm (0.0946, 0.2222, 0.5000) (multiplicity 4)
Tm (0.2106, 0.9439, 0.5000) (multiplicity 4)

KMoC2 | PBE-GGA | relaxed

Results
Energy relative to the lowest polymorph listed for this composition (eV per atom): 0.000
Energy (Ry per atom): -0.5067
Formation energy from the elements (eV per atom): 0.7003

a b c (Å): 6.1209 6.1209 9.0800
angles (deg): 90.00 90.00 90.00
Space group I-42d (No. 122)
One atom of each set of equivalent atoms:
K (0.0000, 0.0000, 0.0000) (multiplicity 4)
Mo (0.0000, 0.0000, 0.5000) (multiplicity 4)
C (0.0609, 0.2500, 0.6250) (multiplicity 8)

TcNiB | PBE-GGA | relaxed

Results
Energy relative to the lowest polymorph listed for this composition (eV per atom): 0.137
Energy (Ry per atom): -0.5711
Formation energy from the elements (eV per atom): -0.1614

a b c (Å): 8.6532 2.9227 5.0089
angles (deg): 90.00 91.78 90.00
Space group Cm (No. 8)
One atom of each set of equivalent atoms:
Tc (0.0000, 0.0000, 0.0000) (multiplicity 2)
Tc (0.2185, 0.5000, 0.7785) (multiplicity 2)
Ni (0.1984, 0.5000, 0.2860) (multiplicity 2)
Ni (0.4285, 0.0000, 0.4727) (multiplicity 2)
B (0.0859, 0.0000, 0.5197) (multiplicity 2)
B (0.3106, 0.0000, 0.0724) (multiplicity 2)

Zr3Ti2N3 | PBE-GGA | relaxed

Results
Energy (Ry per atom): -0.6699

a b c (Å): 3.1827 11.5973 11.9226
angles (deg): 90.00 90.00 90.00
Space group Cmcm (No. 63)
One atom of each set of equivalent atoms:
Zr (0.0000, 0.0399, 0.1191) (multiplicity 8)
Zr (0.0000, 0.3436, 0.2500) (multiplicity 4)
Ti (0.0000, 0.2261, 0.5761) (multiplicity 8)
N (0.0000, 0.3864, 0.0334) (multiplicity 8)
N (0.0000, 0.4622, 0.7500) (multiplicity 4)

Li2GeSbSe4 | PBE-GGA | relaxed

Results
Energy (Ry per atom): -0.2872

a b c (Å): 7.8137 7.9747 11.1641
angles (deg): 90.00 90.00 90.00
Space group Imma (No. 74)
One atom of each set of equivalent atoms:
Li (0.0000, 0.0000, 0.0000) (multiplicity 4)
Li (0.2500, 0.2500, 0.2500) (multiplicity 4)
Ge (0.2500, 0.2500, 0.7500) (multiplicity 4)
Sb (0.0000, 0.0000, 0.5000) (multiplicity 4)
Se (0.0000, 0.0030, 0.7549) (multiplicity 8)
Se (0.2391, 0.2500, 0.9998) (multiplicity 8)

Cr3Re2W | PBE-GGA | relaxed

Results
Energy (Ry per atom): -0.8146
Formation energy from the elements (eV per atom): 0.0365

a b c (Å): 3.0026 3.0026 8.9994
angles (deg): 90.00 90.00 90.00
Space group P4/mmm (No. 123)
One atom of each set of equivalent atoms:
Cr (0.0000, 0.0000, 0.0000) (multiplicity 1)
Cr (0.0000, 0.0000, 0.3319) (multiplicity 2)
Re (0.5000, 0.5000, 0.1659) (multiplicity 2)
W (0.5000, 0.5000, 0.5000) (multiplicity 1)

Rb2PtBrF6 | PBE-GGA | relaxed

Results
Energy (Ry per atom): -0.2826

a b c (Å): 6.6436 6.6436 9.8074
angles (deg): 90.00 90.00 90.00
Space group I4/mmm (No. 139)
One atom of each set of equivalent atoms:
Rb (0.0000, 0.5000, 0.2500) (multiplicity 4)
Pt (0.0000, 0.0000, 0.0000) (multiplicity 2)
Br (0.0000, 0.0000, 0.5000) (multiplicity 2)
F (0.0000, 0.0000, 0.2019) (multiplicity 4)
F (0.2110, 0.2110, 0.0000) (multiplicity 8)

NaTe3Au | PBE-GGA | relaxed

Results
Energy relative to the lowest polymorph listed for this composition (eV per atom): 0.266
Energy (Ry per atom): -0.2014

a b c (Å): 5.5435 5.5435 5.5435
angles (deg): 90.00 90.00 90.00
Space group Pm-3m (No. 221)
One atom of each set of equivalent atoms:
Na (0.0000, 0.0000, 0.0000) (multiplicity 1)
Te (0.0000, 0.5000, 0.5000) (multiplicity 3)
Au (0.5000, 0.5000, 0.5000) (multiplicity 1)

Sc2TaIr | PBE-GGA | relaxed

Results
Energy relative to the lowest polymorph listed for this composition (eV per atom): 0.139
Energy (Ry per atom): -0.6325
Formation energy from the elements (eV per atom): -0.2611

a b c (Å): 6.5977 6.5977 6.5977
angles (deg): 90.00 90.00 90.00
Space group F-43m (No. 216)
One atom of each set of equivalent atoms:
Sc (0.0000, 0.0000, 0.0000) (multiplicity 4)
Sc (0.2500, 0.2500, 0.2500) (multiplicity 4)
Ta (0.2500, 0.2500, 0.7500) (multiplicity 4)
Ir (0.0000, 0.0000, 0.5000) (multiplicity 4)

CuSi2Sb | PBE-GGA | relaxed

Results
Energy (Ry per atom): -0.3155

a b c (Å): 2.9790 4.7187 9.9638
angles (deg): 90.00 90.00 90.00
Space group Immm (No. 71)
One atom of each set of equivalent atoms:
Cu (0.0000, 0.0000, 0.0000) (multiplicity 2)
Si (0.0000, 0.5000, 0.2858) (multiplicity 4)
Sb (0.0000, 0.0000, 0.5000) (multiplicity 2)

CePuCdOs | PBE-GGA | relaxed

Results
Energy relative to the lowest polymorph listed for this composition (eV per atom): 0.161
Energy (Ry per atom): -0.5928
Formation energy from the elements (eV per atom): 0.0372

a b c (Å): 7.1461 7.1461 7.1461
angles (deg): 90.00 90.00 90.00
Space group F-43m (No. 216)
One atom of each set of equivalent atoms:
Ce (0.0000, 0.0000, 0.0000) (multiplicity 4)
Pu (0.0000, 0.0000, 0.5000) (multiplicity 4)
Cd (0.2500, 0.2500, 0.7500) (multiplicity 4)
Os (0.2500, 0.2500, 0.2500) (multiplicity 4)

CdIn2Se | PBE-GGA | relaxed

Results
Energy relative to the lowest polymorph listed for this composition (eV per atom): 0.111
Energy (Ry per atom): -0.1876

a b c (Å): 6.9611 6.9611 11.4714
angles (deg): 90.00 90.00 90.00
Space group I-42d (No. 122)
One atom of each set of equivalent atoms:
Cd (0.0000, 0.0000, 0.0000) (multiplicity 4)
In (0.2409, 0.2500, 0.6250) (multiplicity 8)
Se (0.0000, 0.0000, 0.5000) (multiplicity 4)